1.
A relaxed Cd6WO8 crystal. Source: Alexandria, functional PBE with a Hubbard U.

Output
The crystal system is cubic. For the total energy, the calculation gives -4.63 eV/atom. The value obtained for the calculated volume is 884 Å³/cell.

Cell: 9.5959 9.5959 9.5959 Å, 90.00 90.00 90.00°
With the nearest neighbours (Å) after each atom.
Space group Fm-3m (No. 225)
Unique sites:
1 Cd 0.0000 0.2500 0.2500 (multiplicity 24)  6 O 2.40-2.42
2 W 0.0000 0.0000 0.0000 (multiplicity 4)  6 O 2.05
3 O 0.0000 0.0000 0.2131 (multiplicity 24)  1 W 2.05
4 O 0.2500 0.2500 0.2500 (multiplicity 8)  6 Cd 2.40

=====

2.
A relaxed YCdW2O crystal. Source: Alexandria, functional PBE with a Hubbard U.

Output
The crystal system is tetragonal. For the total energy, the calculation gives -4.02 eV/atom. The value obtained for the calculated volume is 129 Å³/cell.

Cell: 5.6298 5.6298 4.0852 Å, 90.00 90.00 90.00°
With the nearest neighbours (Å) after each atom.
Space group P4/mmm (No. 123)
Unique sites:
1 Y 0.0000 0.0000 0.0000 (multiplicity 1)  8 W 3.48
2 Cd 0.5000 0.5000 0.5000 (multiplicity 1)  2 O 2.04
3 W 0.0000 0.5000 0.5000 (multiplicity 2)  2 Cd 2.81
4 O 0.5000 0.5000 0.0000 (multiplicity 1)  2 Cd 2.04

=====

3.
A relaxed Y2CdWO8 crystal. Source: Alexandria, functional PBE with a Hubbard U.

Output
The crystal system is monoclinic. For the total energy, the calculation gives -7.23 eV/atom. The value obtained for the calculated volume is 352 Å³/cell.

Cell: 7.2088 6.9468 7.0321 Å, 90.00 90.20 90.00°
With the nearest neighbours (Å) after each atom.
Space group C2/m (No. 12)
Unique sites:
1 Y 0.0015 0.0000 0.2507 (multiplicity 4)  6 O 2.22-2.33
2 Cd 0.0000 0.5000 0.5000 (multiplicity 2)  2 O 2.11
3 W 0.0000 0.5000 0.0000 (multiplicity 2)  6 O 1.95
4 O 0.0000 0.1962 0.5000 (multiplicity 4)  1 Cd 2.11, 2 Y 2.22
5 O 0.0000 0.2188 0.0000 (multiplicity 4)  1 W 1.95
6 O 0.1846 0.5000 0.7979 (multiplicity 4)  1 W 1.95
7 O 0.1880 0.5000 0.1991 (multiplicity 4)  1 W 1.95

=====

4.
A relaxed Zn2CdWO6 crystal. Source: Alexandria, functional PBE with a Hubbard U.

Output
The crystal system is monoclinic. For the total energy, the calculation gives -5.49 eV/atom. The value obtained for the calculated volume is 807 Å³/cell.

Cell: 13.0421 9.7830 6.7182 Å, 90.00 109.71 90.00°
With the nearest neighbours (Å) after each atom.
Space group C2/c (No. 15)
Unique sites:
1 Zn 0.2310 0.0250 0.1422 (multiplicity 8)  3 O 1.87-1.94
2 Cd 0.0000 0.0742 0.2500 (multiplicity 4)  4 O 2.14-2.29
3 W 0.0000 0.3073 0.7500 (multiplicity 4)  4 O 1.81-1.82
4 O 0.0208 0.1979 0.9772 (multiplicity 8)  1 W 1.81
5 O 0.1192 0.4142 0.7898 (multiplicity 8)  1 W 1.82, 1 Zn 1.94
6 O 0.1701 0.0262 0.3574 (multiplicity 8)  2 Zn 1.87-1.88

=====

5.
A relaxed ZrCdWO6 crystal. Source: Alexandria, functional PBE with a Hubbard U.

Output
The crystal system is tetragonal. For the total energy, the calculation gives -7.39 eV/atom. The value obtained for the calculated volume is 239 Å³/cell.

Cell: 4.9614 4.9614 9.6980 Å, 90.00 90.00 90.00°
With the nearest neighbours (Å) after each atom.
Space group P4_2nm (No. 102)
Unique sites:
1 Zr 0.0000 0.0000 0.0000 (multiplicity 2)  6 O 2.11-2.15
2 Cd 0.0000 0.0000 0.3293 (multiplicity 2)  6 O 2.26-2.36
3 W 0.0000 0.0000 0.6639 (multiplicity 2)  6 O 1.95-1.96
4 O 0.1782 0.1782 0.8198 (multiplicity 4)  1 W 1.96, 1 Zr 2.15
5 O 0.2012 0.2012 0.5243 (multiplicity 4)  1 W 1.96, 1 Zr 2.11
6 O 0.2224 0.2224 0.1486 (multiplicity 4)  1 W 1.95, 1 Zr 2.12